*i*
# TeSe2O2 GGA-PBE relaxed
# Calculated density (g/cm3): 6.2
# Density of states at the Fermi level (states/eV per atom): 0.62
data_TeSe2O2
_symmetry_space_group_name_H-M 'I 4/m m m'
_symmetry_Int_Tables_number 139
_symmetry_space_group_name_Hall '-I 4 2'
_cell_length_a 3.7852
_cell_length_b 3.7852
_cell_length_c 11.7805
_cell_angle_alpha 90.00
_cell_angle_beta 90.00
_cell_angle_gamma 90.00
loop_
_atom_site_label
_atom_site_type_symbol
_atom_site_fract_x
_atom_site_fract_y
_atom_site_fract_z
Te1 Te 0.0000 0.0000 0.0000
Se1 Se 0.0000 0.0000 0.3475
O1 O 0.0000 0.5000 0.2500

*ii*
# TeSe2O2 GGA-PBE relaxed
# Calculated density (g/cm3): 4.5
# Density of states at the Fermi level (states/eV per atom): 0.49
data_TeSe2O2
_symmetry_space_group_name_H-M 'P 4/m b m'
_symmetry_Int_Tables_number 127
_symmetry_space_group_name_Hall '-P 4 2ab'
_cell_length_a 8.3179
_cell_length_b 8.3179
_cell_length_c 3.3914
_cell_angle_alpha 90.00
_cell_angle_beta 90.00
_cell_angle_gamma 90.00
loop_
_atom_site_label
_atom_site_type_symbol
_atom_site_fract_x
_atom_site_fract_y
_atom_site_fract_z
Te1 Te 0.0000 0.0000 0.0000
Se1 Se 0.2476 0.2524 0.0000
O1 O 0.1777 0.6777 0.5000

Which structure loses on stability? *i* does.